Entry a
The following is a PBEsol calculation of a relaxed structure of Zn2RhCl, from the Alexandria database.

abc: 3.0255 3.0397 6.9238
angles: 90.00 90.00 90.00
Fractional coordinates of all 4 atoms:
Zn (0.0000, 0.0000, 0.2070)
Zn (0.0000, 0.0000, 0.7930)
Rh (0.5000, 0.5000, 0.0000)
Cl (0.5000, 0.0000, 0.5000)

Output
calculated volume = 15.9 Å³ per atom
SG = Pmmm
total magnetic moment = 0.000 μB per cell


Entry b
The following is a PBEsol calculation of a relaxed structure of Zn2RhCl, from the Alexandria database.

abc: 6.2299 6.2299 6.2299
angles: 152.41 142.63 47.08
Fractional coordinates of all 4 atoms:
Zn (0.0000, 0.0000, 0.0000)
Zn (0.6521, 0.1521, 0.5000)
Rh (0.1765, 0.6765, 0.5000)
Cl (0.3679, 0.3679, 0.0000)

Output
calculated volume = 16.9 Å³ per atom
SG = Imm2
total magnetic moment = 0.000 μB per cell


Which structure wins on stability? entry a wins.